The following is a DFT calculation (PBE) of an optimized crystal structure of Ba3Ac3DyS8.

Computed properties:
Formation energy from raw total energies ... -2073.6 meV per atom
Symmetry ... R-3m, No. 166

Lattice parameters (Å, degrees): 8.6500 8.6497 8.8751 119.17 90.00 120.00
Closest atoms and distances in Å follow each position.
Positions (direct):
Ac 0.5000 0.0000 0.5000  6 S 3.02-3.03
Ac 0.5000 0.5000 0.5000  6 S 3.02-3.03
Ac 0.0000 0.5000 0.5000  6 S 3.02-3.03
S 0.2265 0.4531 0.7135  1 Dy 2.81, 2 Ac 3.02
S 0.7735 0.5469 0.2865  1 Dy 2.81, 2 Ac 3.02
S 0.2396 0.0130 0.2865  1 Dy 2.81, 2 Ac 3.02
S 0.2555 0.5109 0.2664  3 Ac 3.03, 3 Ba 3.17
S 0.7735 0.0130 0.2865  1 Dy 2.81, 2 Ac 3.02
S 0.2265 0.9870 0.7135  1 Dy 2.81, 2 Ac 3.02
S 0.7604 0.9870 0.7135  1 Dy 2.81, 2 Ac 3.02
S 0.7445 0.4891 0.7336  3 Ac 3.03, 3 Ba 3.17
Dy 0.0000 0.0000 0.5000  6 S 2.81
Ba 0.0000 0.0000 0.0000  6 S 3.17-3.20
Ba 0.5000 0.5000 0.0000  6 S 3.17-3.20
Ba 0.0000 0.5000 0.0000  6 S 3.17-3.20

The following is a DFT calculation (PBE) of an optimized crystal structure of Ba3Ac2DyTe6.

Computed properties:
Formation energy from raw total energies ... -1585.5 meV per atom
Symmetry ... C2/m, No. 12

Lattice parameters (Å, degrees): 8.2270 8.2270 8.3944 99.44 99.44 119.93
Closest atoms and distances in Å follow each position.
Positions (direct):
Te 0.2392 0.2392 0.7682  1 Dy 3.19, 2 Ac 3.35, 2 Ba 3.47
Te 0.0751 0.3927 0.2268  1 Dy 3.17, 2 Ac 3.34-3.35, 3 Ba 3.45-3.55
Te 0.6073 0.9249 0.7732  1 Dy 3.17, 2 Ac 3.34-3.35, 3 Ba 3.45-3.55
Te 0.3927 0.0751 0.2268  1 Dy 3.17, 2 Ac 3.34-3.35, 3 Ba 3.45-3.55
Te 0.7608 0.7608 0.2318  1 Dy 3.19, 2 Ac 3.35, 2 Ba 3.47
Te 0.9249 0.6073 0.7732  1 Dy 3.17, 2 Ac 3.34-3.35, 3 Ba 3.45-3.55
Ba 0.5000 0.5000 0.5000  6 Te 3.45-3.59
Ba 0.1721 0.8279 0.5000  6 Te 3.45-3.55
Ba 0.8279 0.1721 0.5000  6 Te 3.45-3.55
Ac 0.3345 0.6655 0.0000  6 Te 3.34-3.35
Ac 0.6655 0.3345 0.0000  6 Te 3.34-3.35
Dy 0.0000 0.0000 0.0000  6 Te 3.17-3.19

The following is a DFT calculation (PBE) of an optimized crystal structure of Ba4Ac3DyTe8.

Computed properties:
Formation energy from raw total energies ... -1594.9 meV per atom
Symmetry ... R-3m, No. 166

Lattice parameters (Å, degrees): 9.5392 9.6818 9.5391 119.52 120.00 90.00
Closest atoms and distances in Å follow each position.
Positions (direct):
Dy 0.0000 0.5000 0.0000  6 Te 3.20
Ba 0.0000 0.0000 0.0000  6 Te 3.46
Ba 0.5000 0.0000 0.5000  6 Te 3.46
Ba 0.0000 0.0000 0.5000  6 Te 3.46
Ba 0.5000 0.0000 0.0000  6 Te 3.59
Ac 0.5000 0.5000 0.5000  6 Te 3.34-3.35
Ac 0.0000 0.5000 0.5000  6 Te 3.34-3.35
Ac 0.5000 0.5000 0.0000  6 Te 3.34-3.35
Te 0.7567 0.7281 0.9924  1 Dy 3.20, 2 Ac 3.35, 2 Ba 3.46
Te 0.2540 0.2621 0.5081  3 Ac 3.34, 3 Ba 3.46
Te 0.2357 0.7281 0.9924  1 Dy 3.20, 2 Ac 3.35, 2 Ba 3.46
Te 0.7460 0.7379 0.4919  3 Ac 3.34, 3 Ba 3.46
Te 0.2357 0.7281 0.4715  1 Dy 3.20, 2 Ac 3.35, 2 Ba 3.46
Te 0.2433 0.2719 0.0076  1 Dy 3.20, 2 Ac 3.35, 2 Ba 3.46
Te 0.7643 0.2719 0.5285  1 Dy 3.20, 2 Ac 3.35, 2 Ba 3.46
Te 0.7643 0.2719 0.0076  1 Dy 3.20, 2 Ac 3.35, 2 Ba 3.46

The following is a DFT calculation (PBE) of an optimized crystal structure of BaAc2Er.

Computed properties:
Symmetry ... R-3m, No. 166
Offset from the most stable computed form ... 0.41 eV per formula unit

Lattice parameters (Å, degrees): 3.8772 3.8772 13.8793 81.97 81.97 60.00
Closest atoms and distances in Å follow each position.
Positions (direct):
Ba 0.0000 0.0000 0.0000  6 Ba 3.88, 2 Ac 3.90
Ac 0.0948 0.0948 0.7155  3 Er 3.70, 6 Ac 3.88, 1 Ba 3.90
Ac 0.9052 0.9052 0.2845  3 Er 3.70, 6 Ac 3.88, 1 Ba 3.90
Er 0.5000 0.5000 0.5000  6 Ac 3.70, 6 Er 3.88

The following is a DFT calculation (PBE) of an optimized crystal structure of BaAcEr.

Computed properties:
Symmetry ... P3m1, No. 156
Offset from the most stable computed form ... 0.37 eV per formula unit

Lattice parameters (Å, degrees): 3.7787 6.2674 6.2674 120.00 90.00 90.00
Closest atoms and distances in Å follow each position.
Positions (direct):
Ba 0.6546 0.6667 0.3333  2 Ba 3.78, 6 Er 3.97-4.20, 6 Ac 4.03-4.14
Ac 0.1245 0.0000 0.0000  3 Er 3.64, 2 Ac 3.78, 3 Ba 4.03
Er 0.2209 0.3333 0.6667  3 Ac 3.64, 2 Er 3.78, 3 Ba 3.97

The following is a DFT calculation (PBE) of an optimized crystal structure of BaAcEr.

Computed properties:
Symmetry ... I4mm, No. 107
Offset from the most stable computed form ... 0.00 eV per formula unit

Lattice parameters (Å, degrees): 3.9716 3.9716 8.7904 103.06 103.06 90.00
Closest atoms and distances in Å follow each position.
Positions (direct):
Ac 0.3171 0.3171 0.6342  4 Er 3.65, 4 Ac 3.97
Ba 0.0061 0.0061 0.0122  4 Ba 3.97, 4 Er 4.00, 4 Ac 4.22
Er 0.6768 0.6768 0.3535  4 Ac 3.65, 4 Er 3.97, 4 Ba 4.00

Number 1: D(E_F) 0.38 states/eV per atom. Number 2: D(E_F) 0.45 states/eV per atom. Number 3: D(E_F) 0.42 states/eV per atom. Number 4: D(E_F) 1.55 states/eV per atom. Number 5: D(E_F) 1.68 states/eV per atom. Number 6: D(E_F) 1.65 states/eV per atom.